*P*
Material: Ac3MgCd2
Method: DFT, PBE-GGA
State: optimized geometry

- N(E_F) (states/eV per cell) = 6.58

a b c (Å): 4.096 5.761 9.145
angles (deg): 108.36 90.00 90.00
Positions (direct):
Ac  0.500  0.500  0.000
Ac  0.500  0.832  0.663
Ac  0.500  0.168  0.337
Mg  0.000  0.000  0.000
Cd  0.000  0.339  0.677
Cd  0.000  0.661  0.323

---

*Q*
Material: Ac3MgCd2
Method: DFT, PBE-GGA
State: optimized geometry

- N(E_F) (states/eV per cell) = 8.25

a b c (Å): 4.098 4.098 12.223
angles (deg): 90.00 90.00 90.00
Positions (direct):
Ac  0.000  0.000  0.000
Ac  0.000  0.000  0.668
Ac  0.000  0.000  0.332
Mg  0.500  0.500  0.500
Cd  0.500  0.500  0.831
Cd  0.500  0.500  0.169

---

The relative energies come out as *P* 0; *Q* 6, with values in meV per atom.

---

*P*
Material: AcMg3Cd
Method: DFT, PBE-GGA
State: optimized geometry

- N(E_F) (states/eV per cell) = 2.02

a b c (Å): 5.728 5.728 5.382
angles (deg): 61.79 61.79 78.25
Positions (direct):
Ac  0.600  0.600  0.800
Mg  0.292  0.899  0.304
Mg  0.899  0.292  0.304
Mg  0.909  0.909  0.989
Cd  0.302  0.302  0.600

---

*Q*
Material: AcMg3Cd
Method: DFT, PBE-GGA
State: optimized geometry

- N(E_F) (states/eV per cell) = 4.75

a b c (Å): 6.185 7.224 7.224
angles (deg): 120.00 90.00 90.00
Positions (direct):
Ac  0.750  0.667  0.333
Ac  0.250  0.333  0.667
Mg  0.750  0.616  0.808
Mg  0.250  0.808  0.616
Mg  0.250  0.384  0.192
Mg  0.750  0.192  0.384
Mg  0.250  0.808  0.192
Mg  0.750  0.192  0.808
Cd  0.000  0.000  0.000
Cd  0.500  0.000  0.000

---

The relative energies come out as *P* 0; *Q* 50, with values in meV per atom.

---

*P*
Material: Ac3Mg3Cd2
Method: DFT, PBE-GGA
State: optimized geometry

- N(E_F) (states/eV per cell) = 38.02

a b c (Å): 6.293 9.456 17.317
angles (deg): 90.00 90.00 90.00
Positions (direct):
Ac  0.116  0.453  0.388
Ac  0.616  0.047  0.612
Ac  0.884  0.547  0.888
Ac  0.384  0.953  0.112
Ac  0.884  0.547  0.612
Ac  0.384  0.953  0.388
Ac  0.116  0.453  0.112
Ac  0.616  0.047  0.888
Ac  0.610  0.319  0.250
Ac  0.110  0.181  0.750
Ac  0.390  0.681  0.750
Ac  0.890  0.819  0.250
Mg  0.108  0.165  0.250
Mg  0.608  0.335  0.750
Mg  0.892  0.835  0.750
Mg  0.392  0.665  0.250
Mg  0.608  0.314  0.466
Mg  0.108  0.186  0.534
Mg  0.392  0.686  0.966
Mg  0.892  0.814  0.034
Mg  0.392  0.686  0.534
Mg  0.892  0.814  0.466
Mg  0.608  0.314  0.034
Mg  0.108  0.186  0.966
Cd  0.876  0.102  0.393
Cd  0.376  0.398  0.607
Cd  0.124  0.898  0.893
Cd  0.624  0.602  0.107
Cd  0.124  0.898  0.607
Cd  0.624  0.602  0.393
Cd  0.876  0.102  0.107
Cd  0.376  0.398  0.893

---

*Q*
Material: Ac3Mg3Cd2
Method: DFT, PBE-GGA
State: optimized geometry

- N(E_F) (states/eV per cell) = 19.15

a b c (Å): 5.185 6.432 16.759
angles (deg): 90.00 90.00 113.77
Positions (direct):
Ac  0.904  0.807  0.387
Ac  0.096  0.193  0.887
Ac  0.904  0.807  0.113
Ac  0.096  0.193  0.613
Ac  0.614  0.227  0.250
Ac  0.386  0.773  0.750
Mg  0.619  0.239  0.466
Mg  0.381  0.761  0.966
Mg  0.619  0.239  0.034
Mg  0.381  0.761  0.534
Mg  0.319  0.638  0.250
Mg  0.681  0.362  0.750
Cd  0.802  0.603  0.902
Cd  0.198  0.397  0.402
Cd  0.802  0.603  0.598
Cd  0.198  0.397  0.098

---

The relative energies come out as *P* 19; *Q* 0, with values in meV per atom.

---

*P*
Material: AcMgCd3
Method: DFT, PBE-GGA
State: optimized geometry

- N(E_F) (states/eV per cell) = 4.65

a b c (Å): 6.216 7.151 7.150
angles (deg): 120.00 90.00 90.00
Positions (direct):
Ac  0.750  0.667  0.333
Ac  0.250  0.333  0.667
Mg  0.000  0.000  0.000
Mg  0.500  0.000  0.000
Cd  0.750  0.610  0.805
Cd  0.250  0.805  0.610
Cd  0.250  0.390  0.195
Cd  0.750  0.195  0.390
Cd  0.250  0.805  0.195
Cd  0.750  0.195  0.805

---

*Q*
Material: AcMgCd3
Method: DFT, PBE-GGA
State: optimized geometry

- N(E_F) (states/eV per cell) = 13.31

a b c (Å): 6.490 6.489 13.057
angles (deg): 90.00 90.00 90.00
Positions (direct):
Ac  0.500  0.500  0.250
Ac  0.500  0.500  0.750
Ac  0.000  0.000  0.250
Ac  0.000  0.000  0.750
Mg  0.250  0.250  0.000
Mg  0.750  0.750  0.000
Mg  0.250  0.750  0.500
Mg  0.750  0.250  0.500
Cd  0.250  0.250  0.500
Cd  0.750  0.750  0.500
Cd  0.250  0.750  0.000
Cd  0.750  0.250  0.000
Cd  0.999  0.500  0.141
Cd  0.001  0.500  0.859
Cd  0.999  0.500  0.359
Cd  0.501  0.000  0.359
Cd  0.001  0.500  0.641
Cd  0.499  0.000  0.641
Cd  0.501  0.000  0.141
Cd  0.499  0.000  0.859

---

The relative energies come out as *P* 41; *Q* 0, with values in meV per atom.

---

*P*
Material: AcMg9Cd2
Method: DFT, PBE-GGA
State: optimized geometry

- N(E_F) (states/eV per cell) = 11.62

a b c (Å): 7.851 9.483 9.483
angles (deg): 80.13 65.55 65.55
Positions (direct):
Ac  0.500  0.000  0.000
Ac  0.250  0.500  0.500
Mg  0.750  0.500  0.500
Mg  0.000  0.000  0.000
Mg  0.009  0.919  0.675
Mg  0.603  0.081  0.325
Mg  0.678  0.175  0.581
Mg  0.433  0.825  0.419
Mg  0.741  0.825  0.581
Mg  0.147  0.175  0.419
Mg  0.072  0.919  0.325
Mg  0.317  0.081  0.675
Mg  0.741  0.581  0.825
Mg  0.147  0.419  0.175
Mg  0.072  0.325  0.919
Mg  0.317  0.675  0.081
Mg  0.009  0.675  0.919
Mg  0.603  0.325  0.081
Mg  0.678  0.581  0.175
Mg  0.433  0.419  0.825
Cd  0.875  0.250  0.750
Cd  0.875  0.750  0.250
Cd  0.875  0.250  0.250
Cd  0.375  0.750  0.750

---

*Q*
Material: AcMg9Cd2
Method: DFT, PBE-GGA
State: optimized geometry

- N(E_F) (states/eV per cell) = 3.33

a b c (Å): 3.395 10.059 10.059
angles (deg): 120.00 90.00 90.00
Positions (direct):
Ac  0.000  0.000  0.000
Mg  0.500  0.814  0.186
Mg  0.000  0.000  0.500
Mg  0.000  0.500  0.500
Mg  0.500  0.814  0.629
Mg  0.500  0.186  0.814
Mg  0.500  0.629  0.814
Mg  0.500  0.186  0.371
Mg  0.000  0.500  0.000
Mg  0.500  0.371  0.186
Cd  0.000  0.667  0.333
Cd  0.000  0.333  0.667

---

The relative energies come out as *P* 0; *Q* 63, with values in meV per atom.

---

*P*
Material: Ac2Mg3Cd4
Method: DFT, PBE-GGA
State: optimized geometry

- N(E_F) (states/eV per cell) = 5.32

a b c (Å): 6.058 6.097 8.308
angles (deg): 79.56 68.62 60.21
Positions (direct):
Ac  0.634  0.000  0.733
Ac  0.366  0.000  0.267
Mg  0.000  0.500  0.000
Mg  0.000  0.000  0.000
Mg  0.500  0.500  0.000
Cd  0.001  0.664  0.333
Cd  0.666  0.336  0.333
Cd  0.999  0.336  0.667
Cd  0.334  0.664  0.667

---

*Q*
Material: Ac2Mg3Cd4
Method: DFT, PBE-GGA
State: optimized geometry

- N(E_F) (states/eV per cell) = 15.22

a b c (Å): 6.392 8.901 9.274
angles (deg): 90.00 110.16 90.00
Positions (direct):
Ac  0.105  0.597  0.210
Ac  0.895  0.403  0.790
Ac  0.395  0.097  0.790
Ac  0.605  0.903  0.210
Mg  0.000  0.000  0.000
Mg  0.500  0.500  0.000
Mg  0.523  0.750  0.546
Mg  0.977  0.250  0.454
Mg  0.477  0.250  0.454
Mg  0.023  0.750  0.546
Cd  0.690  0.750  0.879
Cd  0.810  0.250  0.121
Cd  0.310  0.250  0.121
Cd  0.190  0.750  0.879
Cd  0.180  0.980  0.360
Cd  0.820  0.020  0.640
Cd  0.320  0.480  0.640
Cd  0.680  0.520  0.360

---

The relative energies come out as *P* 6; *Q* 0, with values in meV per atom.